Version i
First-principles (PBE) data for an optimized crystal structure of ZnAgBi3, as listed in the Alexandria database.

Geometry as POSCAR:
```
ZnAgBi3
1.0
5.396 0.000 0.000
0.000 5.396 0.000
0.000 0.000 5.396
Zn Ag Bi
1 1 3
direct
0.000 0.000 0.000
0.500 0.500 0.500
0.000 0.000 0.500
0.000 0.500 0.000
0.500 0.000 0.000
```

Its spin magnetization is 0.000 μB per atom.


Version ii
First-principles (PBE) data for an optimized crystal structure of ZnAgBi3, as listed in the Alexandria database.

Geometry as POSCAR:
```
ZnAgBi3
1.0
5.542 0.000 0.000
0.000 5.542 0.000
0.000 0.000 5.542
Zn Ag Bi
1 1 3
direct
0.000 0.000 0.000
0.500 0.500 0.500
0.000 0.500 0.500
0.500 0.000 0.500
0.500 0.500 0.000
```

Its spin magnetization is 0.000 μB per atom.


So which one is most stable? That would be version i, about 0.086 eV/atom below the next structure.


Version i
First-principles (PBE) data for an optimized crystal structure of ZnAg2Bi, as listed in the Alexandria database.

Geometry as POSCAR:
```
ZnAg2Bi
1.0
4.332 0.000 0.000
0.000 4.332 0.000
0.000 0.000 4.422
Zn Ag Bi
1 2 1
direct
0.000 0.000 0.000
0.000 0.500 0.500
0.500 0.000 0.500
0.500 0.500 0.000
```

Its spin magnetization is 0.000 μB per atom.


Version ii
First-principles (PBE) data for an optimized crystal structure of ZnAg2Bi, as listed in the Alexandria database.

Geometry as POSCAR:
```
ZnAg2Bi
1.0
2.253 1.301 4.915
-2.253 1.301 4.915
0.000 -2.602 4.915
Zn Ag Bi
1 2 1
direct
0.000 0.000 0.000
0.283 0.283 0.283
0.717 0.717 0.717
0.500 0.500 0.500
```

Its spin magnetization is 0.000 μB per atom.


Version iii
First-principles (PBE) data for an optimized crystal structure of ZnAg2Bi, as listed in the Alexandria database.

Geometry as POSCAR:
```
ZnAg2Bi
1.0
-2.154 2.154 9.613
2.154 -2.154 9.613
2.154 2.154 -9.613
Zn Ag Bi
2 4 2
direct
0.000 0.000 0.000
0.750 0.250 0.500
0.096 0.625 0.971
0.375 0.346 0.471
0.654 0.125 0.029
0.875 0.904 0.529
0.250 0.750 0.500
0.500 0.500 0.000
```

Its spin magnetization is 0.000 μB per atom.


So which one is most stable? That would be version ii, about 0.023 eV/atom below the next structure.


Version i
First-principles (PBE) data for an optimized crystal structure of ZnAg2Bi, as listed in the Alexandria database.

Geometry as POSCAR:
```
ZnAg2Bi
1.0
2.269 1.310 4.925
-2.269 1.310 4.925
0.000 -2.621 4.925
Zn Ag Bi
1 2 1
direct
0.000 0.000 0.000
0.365 0.365 0.365
0.589 0.589 0.589
0.803 0.803 0.803
```

Its spin magnetization is 0.000 μB per atom.


Version ii
First-principles (PBE) data for an optimized crystal structure of ZnAg2Bi, as listed in the Alexandria database.

Geometry as POSCAR:
```
ZnAg2Bi
1.0
3.362 0.000 0.000
0.000 3.362 0.000
0.000 0.000 7.301
Zn Ag Bi
1 2 1
direct
0.000 0.000 0.000
0.500 0.500 0.198
0.500 0.500 0.802
0.000 0.000 0.500
```

Its spin magnetization is 0.000 μB per atom.


Version iii
First-principles (PBE) data for an optimized crystal structure of ZnAg2Bi, as listed in the Alexandria database.

Geometry as POSCAR:
```
ZnAg2Bi
1.0
0.000 3.485 3.485
3.485 0.000 3.485
3.485 3.485 0.000
Zn Ag Bi
1 2 1
direct
0.000 0.000 0.000
0.250 0.250 0.250
0.750 0.750 0.750
0.500 0.500 0.500
```

Its spin magnetization is 0.000 μB per atom.


So which one is most stable? That would be version ii, about 0.051 eV/atom below the next structure.


Version i
First-principles (PBE) data for an optimized crystal structure of Zn2AgBi2, as listed in the Alexandria database.

Geometry as POSCAR:
```
Zn2AgBi2
1.0
7.173 0.000 0.000
0.000 7.173 0.000
0.000 0.000 4.455
Zn Ag Bi
4 2 4
direct
0.128 0.372 0.000
0.372 0.872 0.000
0.628 0.128 0.000
0.872 0.628 0.000
0.000 0.000 0.000
0.500 0.500 0.000
0.181 0.681 0.500
0.319 0.181 0.500
0.681 0.819 0.500
0.819 0.319 0.500
```

Its spin magnetization is 0.000 μB per atom.


Version ii
First-principles (PBE) data for an optimized crystal structure of Zn2AgBi2, as listed in the Alexandria database.

Geometry as POSCAR:
```
Zn2AgBi2
1.0
8.342 0.000 0.000
0.000 8.342 0.000
0.000 0.000 3.582
Zn Ag Bi
4 2 4
direct
0.107 0.393 0.000
0.393 0.893 0.000
0.607 0.107 0.000
0.893 0.607 0.000
0.000 0.000 0.500
0.500 0.500 0.500
0.199 0.699 0.500
0.301 0.199 0.500
0.699 0.801 0.500
0.801 0.301 0.500
```

Its spin magnetization is 0.000 μB per atom.


So which one is most stable? That would be version i, about 0.066 eV/atom below the next structure.


Version i
First-principles (PBE) data for an optimized crystal structure of ZnAg2Bi2, as listed in the Alexandria database.

Geometry as POSCAR:
```
ZnAg2Bi2
1.0
7.025 0.000 0.000
0.000 7.025 0.000
0.000 0.000 4.813
Zn Ag Bi
2 4 4
direct
0.000 0.000 0.000
0.500 0.500 0.000
0.143 0.357 0.000
0.357 0.857 0.000
0.643 0.143 0.000
0.857 0.643 0.000
0.170 0.670 0.500
0.330 0.170 0.500
0.670 0.830 0.500
0.830 0.330 0.500
```

Its spin magnetization is 0.000 μB per atom.


Version ii
First-principles (PBE) data for an optimized crystal structure of ZnAg2Bi2, as listed in the Alexandria database.

Geometry as POSCAR:
```
ZnAg2Bi2
1.0
8.620 0.000 0.000
0.000 8.620 0.000
0.000 0.000 3.408
Zn Ag Bi
2 4 4
direct
0.000 0.000 0.000
0.500 0.500 0.000
0.117 0.383 0.500
0.383 0.883 0.500
0.617 0.117 0.500
0.883 0.617 0.500
0.182 0.682 0.000
0.318 0.182 0.000
0.682 0.818 0.000
0.818 0.318 0.000
```

Its spin magnetization is 0.000 μB per atom.


Version iii
First-principles (PBE) data for an optimized crystal structure of ZnAg2Bi2, as listed in the Alexandria database.

Geometry as POSCAR:
```
ZnAg2Bi2
1.0
-1.919 1.919 8.415
1.919 -1.919 8.415
1.919 1.919 -8.415
Zn Ag Bi
1 2 2
direct
0.000 0.000 0.000
0.250 0.750 0.500
0.750 0.250 0.500
0.396 0.396 0.000
0.604 0.604 0.000
```

Its spin magnetization is 0.000 μB per atom.


So which one is most stable? That would be version i, about 0.042 eV/atom below the next structure.


Version i
First-principles (PBE) data for an optimized crystal structure of ZnAg3Bi, as listed in the Alexandria database.

Geometry as POSCAR:
```
ZnAg3Bi
1.0
4.873 0.000 0.000
0.000 4.873 0.000
0.000 0.000 4.873
Zn Ag Bi
1 3 1
direct
0.000 0.000 0.000
0.000 0.000 0.500
0.000 0.500 0.000
0.500 0.000 0.000
0.500 0.500 0.500
```

Its spin magnetization is 0.000 μB per atom.


Version ii
First-principles (PBE) data for an optimized crystal structure of ZnAg3Bi, as listed in the Alexandria database.

Geometry as POSCAR:
```
ZnAg3Bi
1.0
5.462 0.000 0.000
0.000 5.462 0.000
0.000 0.000 5.462
Zn Ag Bi
1 3 1
direct
0.000 0.000 0.000
0.000 0.500 0.500
0.500 0.000 0.500
0.500 0.500 0.000
0.500 0.500 0.500
```

Its spin magnetization is 0.000 μB per atom.


So which one is most stable? That would be version i, about 0.205 eV/atom below the next structure.


Version i
First-principles (PBE) data for an optimized crystal structure of Zr3AgBi, as listed in the Alexandria database.

Geometry as POSCAR:
```
Zr3AgBi
1.0
5.400 0.000 0.000
0.000 5.400 0.000
0.000 0.000 5.400
Zr Ag Bi
3 1 1
direct
0.000 0.000 0.500
0.000 0.500 0.000
0.500 0.000 0.000
0.500 0.500 0.500
0.000 0.000 0.000
```

Its spin magnetization is 0.000 μB per atom.


Version ii
First-principles (PBE) data for an optimized crystal structure of Zr3AgBi, as listed in the Alexandria database.

Geometry as POSCAR:
```
Zr3AgBi
1.0
5.174 0.000 0.000
0.000 5.174 0.000
0.000 0.000 5.174
Zr Ag Bi
3 1 1
direct
0.000 0.000 0.500
0.000 0.500 0.000
0.500 0.000 0.000
0.000 0.000 0.000
0.500 0.500 0.500
```

Its spin magnetization is 0.000 μB per atom.


So which one is most stable? That would be version ii, about 0.491 eV/atom below the next structure.


Version i
First-principles (PBE) data for an optimized crystal structure of Zr2Ag2Bi, as listed in the Alexandria database.

Geometry as POSCAR:
```
Zr2Ag2Bi
1.0
8.229 0.000 0.000
0.000 8.229 0.000
0.000 0.000 3.309
Zr Ag Bi
4 4 2
direct
0.169 0.331 0.000
0.331 0.831 0.000
0.669 0.169 0.000
0.831 0.669 0.000
0.124 0.624 0.500
0.376 0.124 0.500
0.624 0.876 0.500
0.876 0.376 0.500
0.000 0.000 0.500
0.500 0.500 0.500
```

Its spin magnetization is 0.000 μB per atom.


Version ii
First-principles (PBE) data for an optimized crystal structure of Zr2Ag2Bi, as listed in the Alexandria database.

Geometry as POSCAR:
```
Zr2Ag2Bi
1.0
-2.139 2.139 6.590
2.139 -2.139 6.590
2.139 2.139 -6.590
Zr Ag Bi
2 2 1
direct
0.250 0.750 0.500
0.750 0.250 0.500
0.100 0.100 0.000
0.900 0.900 0.000
0.500 0.500 0.000
```

Its spin magnetization is 0.000 μB per atom.


Version iii
First-principles (PBE) data for an optimized crystal structure of Zr2Ag2Bi, as listed in the Alexandria database.

Geometry as POSCAR:
```
Zr2Ag2Bi
1.0
8.147 0.000 0.000
0.000 8.147 0.000
0.000 0.000 3.452
Zr Ag Bi
4 4 2
direct
0.165 0.335 0.000
0.335 0.835 0.000
0.665 0.165 0.000
0.835 0.665 0.000
0.128 0.628 0.500
0.372 0.128 0.500
0.628 0.872 0.500
0.872 0.372 0.500
0.000 0.000 0.000
0.500 0.500 0.000
```

Its spin magnetization is 0.000 μB per atom.


So which one is most stable? That would be version i, about 0.064 eV/atom below the next structure.


Version i
First-principles (PBE) data for an optimized crystal structure of ZrAg2Bi2, as listed in the Alexandria database.

Geometry as POSCAR:
```
ZrAg2Bi2
1.0
7.746 0.000 0.000
0.000 7.746 0.000
0.000 0.000 3.996
Zr Ag Bi
2 4 4
direct
0.000 0.000 0.000
0.500 0.500 0.000
0.124 0.376 0.000
0.376 0.876 0.000
0.624 0.124 0.000
0.876 0.624 0.000
0.181 0.681 0.500
0.319 0.181 0.500
0.681 0.819 0.500
0.819 0.319 0.500
```

Its spin magnetization is 0.000 μB per atom.


Version ii
First-principles (PBE) data for an optimized crystal structure of ZrAg2Bi2, as listed in the Alexandria database.

Geometry as POSCAR:
```
ZrAg2Bi2
1.0
-1.943 1.943 8.206
1.943 -1.943 8.206
1.943 1.943 -8.206
Zr Ag Bi
1 2 2
direct
0.000 0.000 0.000
0.250 0.750 0.500
0.750 0.250 0.500
0.400 0.400 0.000
0.600 0.600 0.000
```

Its spin magnetization is 0.000 μB per atom.


So which one is most stable? That would be version ii, about 0.039 eV/atom below the next structure.


Version i
First-principles (PBE) data for an optimized crystal structure of AgBr5, as listed in the Alexandria database.

Geometry as POSCAR:
```
AgBr5
1.0
3.483 0.000 0.000
0.000 3.483 0.000
0.000 0.000 13.475
Ag Br
1 5
direct
0.000 0.000 0.000
0.000 0.000 0.357
0.000 0.000 0.643
0.500 0.500 0.129
0.500 0.500 0.500
0.500 0.500 0.871
```

Its spin magnetization is 0.000 μB per atom.


Version ii
First-principles (PBE) data for an optimized crystal structure of AgBr5, as listed in the Alexandria database.

Geometry as POSCAR:
```
AgBr5
1.0
8.700 0.000 0.000
0.000 1.946 6.313
0.000 -1.946 6.313
Ag Br
1 5
direct
0.000 0.000 0.000
0.000 0.362 0.362
0.000 0.638 0.638
0.500 0.189 0.189
0.500 0.522 0.522
0.500 0.855 0.855
```

Its spin magnetization is 0.000 μB per atom.


Version iii
First-principles (PBE) data for an optimized crystal structure of AgBr5, as listed in the Alexandria database.

Geometry as POSCAR:
```
AgBr5
1.0
0.000 4.377 4.377
4.377 0.000 4.377
4.377 4.377 0.000
Ag Br
1 5
direct
0.000 0.000 0.000
0.375 0.375 0.375
0.375 0.375 0.875
0.375 0.875 0.375
0.750 0.750 0.750
0.875 0.375 0.375
```

Its spin magnetization is 0.000 μB per atom.


Version iv
First-principles (PBE) data for an optimized crystal structure of AgBr5, as listed in the Alexandria database.

Geometry as POSCAR:
```
AgBr5
1.0
5.794 0.000 0.000
0.000 11.874 0.000
-1.340 0.000 7.241
Ag Br
2 10
direct
0.197 0.250 0.095
0.803 0.750 0.905
0.110 0.576 0.932
0.110 0.924 0.932
0.255 0.152 0.659
0.255 0.348 0.659
0.365 0.750 0.762
0.635 0.250 0.238
0.745 0.652 0.341
0.745 0.848 0.341
0.890 0.076 0.068
0.890 0.424 0.068
```

Its spin magnetization is 0.000 μB per atom.


So which one is most stable? That would be version iv, about 0.041 eV/atom below the next structure.